(1)
Entry from the Alexandria database: a relaxed CrCd2P crystal (PBE).

a b c (Å): 4.1604 4.1604 7.8265
angles (deg): 112.67 112.67 41.62
Atoms (fractional coordinates):
Cr1 0.0000 0.0000 0.0000
Cd1 0.4204 0.4204 0.6692
Cd2 0.7409 0.7409 0.3122
P1 0.2800 0.2800 0.9775

Energy of formation (meV/atom): 149
Total moment (Bohr magnetons per cell): 0.00
Raw total energy (eV per atom): -4.0673

---

(2)
Entry from the Alexandria database: a relaxed Ac3Te3N crystal (PBE).

a b c (Å): 8.1779 8.1779 8.1777
angles (deg): 96.92 96.92 112.21
Atoms (fractional coordinates):
Ac1 0.1018 0.1018 0.3337
Ac2 0.1524 0.4415 0.7794
Ac3 0.4415 0.1524 0.7794
Ac4 0.5585 0.8476 0.2206
Ac5 0.8476 0.5585 0.2206
Ac6 0.8982 0.8982 0.6663
Te1 0.1638 0.8362 0.0000
Te2 0.2493 0.7507 0.5000
Te3 0.3888 0.3888 0.1512
Te4 0.6112 0.6112 0.8488
Te5 0.7507 0.2493 0.5000
Te6 0.8362 0.1638 0.0000
N1 0.1702 0.1702 0.6492
N2 0.8298 0.8298 0.3508

E above lowest polymorph (eV per formula unit): 0.10
Total moment (Bohr magnetons per cell): 0.00
ΔE_f (raw) (eV per atom): -1.55
Raw total energy (eV per atom): -5.8515

---

Q: raw total energy of number 2 (Ac3Te3N)?
A: -5.8515 eV per atom

---

Q: Which value of total moment does entry 2 give?
A: 0.00 Bohr magnetons per cell

---

What did the first record say?
Entry from the Alexandria database: a relaxed CrCd2P crystal (PBE).

a b c (Å): 4.1604 4.1604 7.8265
angles (deg): 112.67 112.67 41.62
Atoms (fractional coordinates):
Cr1 0.0000 0.0000 0.0000
Cd1 0.4204 0.4204 0.6692
Cd2 0.7409 0.7409 0.3122
P1 0.2800 0.2800 0.9775

Energy of formation (meV/atom): 149
Total moment (Bohr magnetons per cell): 0.00
Raw total energy (eV per atom): -4.0673